Material: SrIrOs2
Method: DFT, GGA-PBEsol
State: optimized geometry

Unit cell a=2.812 b=4.583 c=5.665 alpha=90.00 beta=101.48 gamma=90.00
Space group P2/m (No. 10)
Asymmetric unit:
Sr 0.000 0.000 0.000 x1
Ir 0.500 0.000 0.500 x1
Os 0.313 0.500 0.690 x2

Output
magnetic moment = 0.00 μB per formula unit
DFT formation energy = 19.9 kcal/mol of atoms
ΔE to the lowest computed polymorph = 9.64 kcal/mol of atoms
calculated volume = 71.5 Å³/cell


Material: Ta2IrOs
Method: DFT, GGA-PBEsol
State: optimized geometry

Unit cell a=2.907 b=4.513 c=4.906 alpha=90.00 beta=97.74 gamma=90.00
Space group Pm (No. 6)
Asymmetric unit:
Ta 0.000 0.000 0.000 x1
Ta 0.170 0.500 0.608 x1
Ir 0.542 0.500 0.128 x1
Os 0.628 0.000 0.497 x1

Output
magnetic moment = 0.00 μB per formula unit
DFT formation energy = -8.6 kcal/mol of atoms
calculated volume = 63.8 Å³/cell